! ScHO2 | Alexandria | GGA-PBE | relaxed; values from VASP
! **Magnetic moment**: 0.00 Bohr magnetons per cell
! **Symmetry**: R-3m
! **Energy**: -29.9 eV/cell
! **ρ**: 3.26 g cm⁻³
&SYSTEM
  ibrav = 0, nat = 4, ntyp = 3
/
ATOMIC_SPECIES
Sc 44.96 Sc.upf
H 1.01 H.upf
O 16.00 O.upf
CELL_PARAMETERS angstrom
1.598 0.923 4.494
-1.598 0.923 4.494
0.000 -1.845 4.494
ATOMIC_POSITIONS crystal
Sc 0.000 0.000 0.000
H 0.500 0.500 0.500
O 0.411 0.411 0.411
O 0.589 0.589 0.589